LuB2, relaxed, DFT PBE-GGA; excess energy over the best structure of this formula in the dataset = 0.000 eV per atom; E = -20.0 eV per cell; DOS(E_F) = 0.9 states/eV/f.u.; formation enthalpy at 0 K = -0.69 eV per atom; space-group type = P6/mmm, No. 191; total magnetic moment = 0.00 μB per formula unit
1.0
-2.074 2.269 1.025
-0.350 -1.303 -2.946
-2.189 -2.646 1.431
Lu B
1 2
direct
0.000 0.000 0.000
0.333 0.667 0.500
0.667 0.333 0.500